Material: LiEuCd2
Method: DFT, GGA-PBE
State: relaxed

Formation energy from the elements, eV per atom: -0.271
Excess energy over the best structure of this formula in the dataset, meV per atom: 0
Density of states at the Fermi level, states/eV/atom: 0.853

```
LiEuCd2
1.0
3.5932 0.0000 0.0000
0.0000 3.5932 0.0000
0.0000 0.0000 7.6269
Li Eu Cd
1 1 2
Cartesian
0.0000 0.0000 0.0000
0.0000 0.0000 3.8135
1.7966 1.7966 1.5278
1.7966 1.7966 6.0991
```